# Ag5Au4

Crystalline Ag5Au4 at its relaxed geometry (PBE, Alexandria via LeMat-Bulk).

Geometry as extended XYZ:
```
18
Lattice="8.242 0.000 0.000 -4.121 7.138 0.000 0.000 0.000 5.617" Properties=species:S:1:pos:R:3 pbc="T T T"
Ag -1.318 2.283 1.404
Ag -2.803 4.855 4.213
Ag 2.637 0.000 1.404
Ag 1.318 2.283 4.213
Ag 0.000 4.759 0.000
Ag 0.000 4.759 2.809
Ag 4.121 2.379 0.000
Ag 4.121 2.379 2.809
Ag 5.606 0.000 4.213
Ag 2.803 4.855 1.404
Au 0.000 0.000 0.000
Au 0.000 0.000 2.809
Au -1.435 2.485 4.213
Au -2.686 4.653 1.404
Au 2.870 0.000 4.213
Au 1.435 2.485 1.404
Au 5.373 0.000 1.404
Au 2.686 4.653 4.213
```

Total magnetization, μB per formula unit: 0.00
Energy of formation, eV/atom: 0.0334
Offset from the most stable computed form, eV/f.u.: 0.64